# Th4SbTe4 GGA-PBE optimized geometry
data_Th4SbTe4
_chemical_formula_sum 'Th8 Sb2 Te8'
_cell_length_a 7.582
_cell_length_b 7.582
_cell_length_c 11.806
_cell_angle_alpha 90.00
_cell_angle_beta 90.00
_cell_angle_gamma 90.00
_symmetry_space_group_name_H-M 'I -4 2 m'
_symmetry_Int_Tables_number 121
_symmetry_space_group_name_Hall 'I -4 2'
loop_
_atom_site_label
_atom_site_type_symbol
_atom_site_fract_x
_atom_site_fract_y
_atom_site_fract_z
Th1 Th 0.217 0.217 0.160
Sb1 Sb 0.000 0.000 0.000
Te1 Te 0.000 0.000 0.344
Te2 Te 0.000 0.500 0.000
# Energy above the most stable polymorph in this dataset in eV/atom: 0.569
# Formation energy without anion corrections in eV per atom: -0.530

# Th4SbTe4 GGA-PBE optimized geometry
data_Th4SbTe4
_chemical_formula_sum 'Th8 Sb2 Te8'
_cell_length_a 14.731
_cell_length_b 4.417
_cell_length_c 11.059
_cell_angle_alpha 90.00
_cell_angle_beta 120.82
_cell_angle_gamma 90.00
_symmetry_space_group_name_H-M 'C 1 2/m 1'
_symmetry_Int_Tables_number 12
loop_
_symmetry_equiv_pos_as_xyz
'x,y,z'
'-x,-y,-z'
'-x,y,-z'
'x,-y,z'
'x+1/2,y+1/2,z'
'-x+1/2,-y+1/2,-z'
'-x+1/2,y+1/2,-z'
'x+1/2,-y+1/2,z'
loop_
_atom_site_label
_atom_site_type_symbol
_atom_site_fract_x
_atom_site_fract_y
_atom_site_fract_z
Th1 Th 0.110 0.000 0.415
Th2 Th 0.202 0.500 0.795
Sb1 Sb 0.000 0.500 0.500
Te1 Te 0.098 0.000 0.896
Te2 Te 0.177 0.500 0.271
# Energy above the most stable polymorph in this dataset in eV/atom: 0.000
# Formation energy without anion corrections in eV per atom: -1.099

# ThSbTe3 GGA-PBE optimized geometry
data_ThSbTe3
_chemical_formula_sum 'Th2 Sb2 Te6'
_cell_length_a 4.833
_cell_length_b 6.169
_cell_length_c 12.488
_cell_angle_alpha 96.00
_cell_angle_beta 95.23
_cell_angle_gamma 91.95
_symmetry_space_group_name_H-M 'P -1'
_symmetry_Int_Tables_number 2
loop_
_symmetry_equiv_pos_as_xyz
'x,y,z'
'-x,-y,-z'
loop_
_atom_site_label
_atom_site_type_symbol
_atom_site_fract_x
_atom_site_fract_y
_atom_site_fract_z
Th1 Th 0.219 0.219 0.367
Sb1 Sb 0.346 0.187 0.040
Te1 Te 0.111 0.872 0.161
Te2 Te 0.235 0.746 0.456
Te3 Te 0.307 0.602 0.760
# Formation energy without anion corrections in eV per atom: -0.668

# Th4Sb2Te GGA-PBE optimized geometry
data_Th4Sb2Te
_chemical_formula_sum 'Th8 Sb4 Te2'
_cell_length_a 16.598
_cell_length_b 4.197
_cell_length_c 7.531
_cell_angle_alpha 90.00
_cell_angle_beta 116.45
_cell_angle_gamma 90.00
_symmetry_space_group_name_H-M 'C 1 2/m 1'
_symmetry_Int_Tables_number 12
loop_
_symmetry_equiv_pos_as_xyz
'x,y,z'
'-x,-y,-z'
'-x,y,-z'
'x,-y,z'
'x+1/2,y+1/2,z'
'-x+1/2,-y+1/2,-z'
'-x+1/2,y+1/2,-z'
'x+1/2,-y+1/2,z'
loop_
_atom_site_label
_atom_site_type_symbol
_atom_site_fract_x
_atom_site_fract_y
_atom_site_fract_z
Th1 Th 0.106 0.000 0.460
Th2 Th 0.125 0.500 0.937
Sb1 Sb 0.247 0.000 0.270
Te1 Te 0.000 0.000 0.000
# Formation energy without anion corrections in eV per atom: -0.591

# Th5Sb5Te GGA-PBE optimized geometry
data_Th5Sb5Te
_chemical_formula_sum 'Th10 Sb10 Te2'
_cell_length_a 14.119
_cell_length_b 6.348
_cell_length_c 8.979
_cell_angle_alpha 90.00
_cell_angle_beta 108.31
_cell_angle_gamma 90.00
_symmetry_space_group_name_H-M 'C 1 2/m 1'
_symmetry_Int_Tables_number 12
loop_
_symmetry_equiv_pos_as_xyz
'x,y,z'
'-x,-y,-z'
'-x,y,-z'
'x,-y,z'
'x+1/2,y+1/2,z'
'-x+1/2,-y+1/2,-z'
'-x+1/2,y+1/2,-z'
'x+1/2,-y+1/2,z'
loop_
_atom_site_label
_atom_site_type_symbol
_atom_site_fract_x
_atom_site_fract_y
_atom_site_fract_z
Th1 Th 0.000 0.000 0.000
Th2 Th 0.167 0.500 0.826
Th3 Th 0.168 0.500 0.340
Sb1 Sb 0.000 0.500 0.500
Sb2 Sb 0.160 0.000 0.338
Sb3 Sb 0.165 0.000 0.829
Te1 Te 0.000 0.500 0.000
# Formation energy without anion corrections in eV per atom: -0.812

# Th7SbTe12 GGA-PBE optimized geometry
data_Th7SbTe12
_chemical_formula_sum 'Th21 Sb3 Te36'
_cell_length_a 17.9348
_cell_length_b 17.9348
_cell_length_c 8.5776
_cell_angle_alpha 90.00
_cell_angle_beta 90.00
_cell_angle_gamma 120.00
_symmetry_space_group_name_H-M 'R -3'
_symmetry_Int_Tables_number 148
_symmetry_space_group_name_Hall '-R 3'
loop_
_atom_site_label
_atom_site_type_symbol
_atom_site_fract_x
_atom_site_fract_y
_atom_site_fract_z
Th1 Th 0.0000 0.0000 0.0000
Th2 Th 0.0527 0.2010 0.3925
Sb1 Sb 0.0000 0.0000 0.5000
Te1 Te 0.0007 0.5661 0.2053
Te2 Te 0.0376 0.1569 0.7815
# Formation energy without anion corrections in eV per atom: -0.958

# Th3Sb3Te GGA-PBE optimized geometry
data_Th3Sb3Te
_chemical_formula_sum 'Th9 Sb9 Te3'
_cell_length_a 10.7914
_cell_length_b 10.7914
_cell_length_c 6.5694
_cell_angle_alpha 90.00
_cell_angle_beta 90.00
_cell_angle_gamma 120.00
_symmetry_space_group_name_H-M 'R 3 m'
_symmetry_Int_Tables_number 160
_symmetry_space_group_name_Hall 'R 3 -2"'
loop_
_atom_site_label
_atom_site_type_symbol
_atom_site_fract_x
_atom_site_fract_y
_atom_site_fract_z
Th1 Th 0.1691 0.3382 0.0000
Sb1 Sb 0.0313 0.5157 0.1848
Te1 Te 0.0000 0.0000 0.0981
# Formation energy without anion corrections in eV per atom: -0.740

# ThSbTe2 GGA-PBE optimized geometry
data_ThSbTe2
_chemical_formula_sum 'Th3 Sb3 Te6'
_cell_length_a 4.1006
_cell_length_b 4.1006
_cell_length_c 30.6672
_cell_angle_alpha 90.00
_cell_angle_beta 90.00
_cell_angle_gamma 120.00
_symmetry_space_group_name_H-M 'R -3 m'
_symmetry_Int_Tables_number 166
_symmetry_space_group_name_Hall '-R 3 2"'
loop_
_atom_site_label
_atom_site_type_symbol
_atom_site_fract_x
_atom_site_fract_y
_atom_site_fract_z
Th1 Th 0.0000 0.0000 0.0000
Sb1 Sb 0.0000 0.0000 0.5000
Te1 Te 0.0000 0.0000 0.4010
# Formation energy without anion corrections in eV per atom: -0.474

Look up the formation energy without anion corrections of the third one. -0.668 eV per atom